1.
DFT (PBE) results for Na3InH6 after structural relaxation.

a = 5.493 Å, b = 5.755 Å, c = 9.710 Å
α = 90.00°, β = 124.33°, γ = 90.00°
Space group P2_1/c (No. 14)
Symmetry-distinct sites (fractional):
Na1 0.000 0.000 0.000 x2
Na2 0.232 0.052 0.744 x4
In1 0.500 0.000 0.500 x2
H1 0.156 0.173 0.451 x4
H2 0.258 0.714 0.424 x4
H3 0.389 0.063 0.272 x4

Summary:
- Volume: 12.7 A^3/atom
- Total DFT energy (no corrections): -27.20 eV/f.u.

=====

2.
DFT (PBE) results for Na2InH after structural relaxation.

a = 5.964 Å, b = 3.396 Å, c = 8.481 Å
α = 90.00°, β = 103.48°, γ = 90.00°
Space group Cm (No. 8)
Symmetry-distinct sites (fractional):
Na1 0.000 0.000 0.000 x2
Na2 0.218 0.000 0.655 x2
In1 0.282 0.500 0.328 x2
H1 0.110 0.500 0.828 x2

Summary:
- Volume: 20.9 A^3/atom
- Total DFT energy (no corrections): -9.10 eV/f.u.
- Offset from the most stable computed form: 0 meV per atom

=====

3.
DFT (PBE) results for Na3InH after structural relaxation.

a = 4.847 Å, b = 4.847 Å, c = 4.847 Å
α = 90.00°, β = 90.00°, γ = 90.00°
Space group Pm-3m (No. 221)
Symmetry-distinct sites (fractional):
Na1 0.000 0.000 0.500 x3
In1 0.500 0.500 0.500 x1
H1 0.000 0.000 0.000 x1

Summary:
- Volume: 22.8 A^3/atom
- Total DFT energy (no corrections): -10.23 eV/f.u.

=====

4.
DFT (PBE) results for Na12In3H5 after structural relaxation.

a = 15.822 Å, b = 15.822 Å, c = 15.822 Å
α = 90.00°, β = 90.00°, γ = 90.00°
Space group Ia-3d (No. 230)
Symmetry-distinct sites (fractional):
Na1 0.041 0.049 0.647 x96
In1 0.000 0.250 0.125 x24
H1 0.000 0.000 0.000 x16
H2 0.000 0.250 0.375 x24

Summary:
- Volume: 24.8 A^3/atom
- Total DFT energy (no corrections): -39.93 eV/f.u.

=====

5.
DFT (PBE) results for Na2InH after structural relaxation.

a = 3.4156 Å, b = 3.4156 Å, c = 24.7669 Å
α = 90.00°, β = 90.00°, γ = 120.00°
Space group R-3m (No. 166, hexagonal axes)
Symmetry-distinct sites (fractional):
Na1 0.0000 0.0000 0.2240 x6
In1 0.0000 0.0000 0.0000 x3
H1 0.0000 0.0000 0.5000 x3

Summary:
- Volume: 20.9 A^3/atom
- Total DFT energy (no corrections): -9.10 eV/f.u.
- Offset from the most stable computed form: 2 meV per atom

=====

6.
DFT (PBE) results for Na2InH2 after structural relaxation.

a = 7.181 Å, b = 7.181 Å, c = 3.272 Å
α = 90.00°, β = 90.00°, γ = 90.00°
Space group P4/mbm (No. 127)
Symmetry-distinct sites (fractional):
Na1 0.149 0.351 0.000 x4
In1 0.000 0.000 0.500 x2
H1 0.152 0.652 0.500 x4

Summary:
- Volume: 16.9 A^3/atom
- Total DFT energy (no corrections): -11.54 eV/f.u.
- Offset from the most stable computed form: 0 meV per atom